# AlCo | Alexandria | PBE-GGA | optimized geometry
data_AlCo
_chemical_formula_sum 'Al2 Co2'
_cell_length_a 4.660
_cell_length_b 5.198
_cell_length_c 2.758
_cell_angle_alpha 74.61
_cell_angle_beta 72.79
_cell_angle_gamma 49.24
_space_group_name_H-M_alt 'P 1'
_space_group_IT_number 1
loop_
_space_group_symop_operation_xyz
'x,y,z'
loop_
_atom_site_label
_atom_site_type_symbol
_atom_site_fract_x
_atom_site_fract_y
_atom_site_fract_z
Al1 Al 0.045 0.977 0.989
Al2 Al 0.872 0.607 0.761
Co1 Co 0.521 0.470 0.504
Co2 Co 0.395 0.113 0.246
# * E: -23.416 eV per cell
# * crystal system: monoclinic
# * formation energy: -430 meV per atom
# * V: 48.10 Å³ per cell
# * size of the total moment: 0.48 μB/f.u.